1.
# SrErPt

A geometry-optimized SrErPt structure (PBE-GGA, Alexandria).

Unit cell a=4.7962 b=4.7962 c=7.7517 alpha=90.00 beta=90.00 gamma=90.00
Space group P4/nmm (No. 129, origin choice 2)
Unique sites:
Sr  0.2500  0.2500  0.1303 (multiplicity 2)
Er  0.2500  0.7500  0.5000 (multiplicity 2)
Pt  0.2500  0.2500  0.6987 (multiplicity 2)

Values from the calculation:
energy relative to the lowest polymorph listed for this composition	0	meV per atom
crystal system	tetragonal
V	178.31	Å³/cell
formation energy from the elements	-0.845	eV per atom

***

2.
# Ac5Se5N2

A geometry-optimized Ac5Se5N2 structure (PBE-GGA, Alexandria).

Unit cell a=14.2836 b=4.2651 c=11.7454 alpha=90.00 beta=106.62 gamma=90.00
Space group C2/m (No. 12)
Unique sites:
Ac  0.0000  0.0000  0.0000 (multiplicity 2)
Ac  0.1004  0.0000  0.3738 (multiplicity 4)
Ac  0.1495  0.5000  0.7952 (multiplicity 4)
Se  0.0000  0.5000  0.5000 (multiplicity 2)
Se  0.1655  0.5000  0.0714 (multiplicity 4)
Se  0.2438  0.0000  0.6385 (multiplicity 4)
N  0.0426  0.0000  0.7965 (multiplicity 4)

Values from the calculation:
formation energy from raw total energies	-1.664	eV/atom
crystal system	monoclinic
V	685.64	Å³/cell

***

3.
# AlP2Cl

A geometry-optimized AlP2Cl structure (PBE-GGA, Alexandria).

Unit cell a=6.4189 b=6.4189 c=6.4189 alpha=90.00 beta=90.00 gamma=90.00
Space group Fm-3m (No. 225)
Unique sites:
Al  0.0000  0.0000  0.0000 (multiplicity 4)
P  0.2500  0.2500  0.2500 (multiplicity 8)
Cl  0.0000  0.0000  0.5000 (multiplicity 4)

Values from the calculation:
formation energy from raw total energies	0.549	eV/atom
energy relative to the lowest polymorph listed for this composition	850	meV per atom
crystal system	cubic
V	264.48	Å³/cell

***

4.
# CaFeP2

A geometry-optimized CaFeP2 structure (PBE-GGA, Alexandria).

Unit cell a=3.1737 b=3.1737 c=6.4657 alpha=90.00 beta=90.00 gamma=90.00
Space group P4mm (No. 99)
Unique sites:
Ca  0.0000  0.0000  0.0000 (multiplicity 1)
Fe  0.5000  0.5000  0.3670 (multiplicity 1)
P  0.0000  0.0000  0.4659 (multiplicity 1)
P  0.5000  0.5000  0.7146 (multiplicity 1)

Values from the calculation:
energy relative to the lowest polymorph listed for this composition	476	meV per atom
crystal system	tetragonal
V	65.12	Å³/cell
formation energy from the elements	-0.164	eV per atom